VASP calculation (PBE) on a relaxed Na4NdPu3S8 crystal.

Properties
Raw formation energy in eV per atom: -1.6041
Size of the total moment in μB/atom: 0.937
Final energy in eV per atom: -6.98
Space-group type: R-3m, No. 166
Density in Mg/m³: 5.4

a b c (Å): 8.1267 8.1267 8.1267
angles (deg): 60.07 60.07 60.07
With the nearest neighbours (Å) after each atom.
Positions (direct):
Na  0.0000  0.0000  0.0000  6 S 2.92
Na  0.0000  0.5000  0.5000  6 S 2.97-2.98
Na  0.5000  0.0000  0.5000  6 S 2.97-2.98
Na  0.5000  0.5000  0.0000  6 S 2.97-2.98
Nd  0.5000  0.5000  0.5000  6 S 2.83
Pu  0.0000  0.0000  0.5000  6 S 2.77-2.78
Pu  0.0000  0.5000  0.0000  6 S 2.77-2.78
Pu  0.5000  0.0000  0.0000  6 S 2.77-2.78
S  0.2374  0.7462  0.7462  2 Pu 2.78, 1 Nd 2.83, 3 Na 2.92-2.97
S  0.2409  0.2409  0.2409  3 Pu 2.77, 3 Na 2.98
S  0.2538  0.2538  0.7626  2 Pu 2.78, 1 Nd 2.83, 3 Na 2.92-2.97
S  0.2538  0.7626  0.2538  2 Pu 2.78, 1 Nd 2.83, 3 Na 2.92-2.97
S  0.7462  0.2374  0.7462  2 Pu 2.78, 1 Nd 2.83, 3 Na 2.92-2.97
S  0.7462  0.7462  0.2374  2 Pu 2.78, 1 Nd 2.83, 3 Na 2.92-2.97
S  0.7591  0.7591  0.7591  3 Pu 2.77, 3 Na 2.98
S  0.7626  0.2538  0.2538  2 Pu 2.78, 1 Nd 2.83, 3 Na 2.92-2.97


VASP calculation (PBE) on a relaxed Na2NdPu3Se6 crystal.

Properties
Raw formation energy in eV per atom: -1.5372
Size of the total moment in μB/atom: 1.417
Final energy in eV per atom: -7.48
Space-group type: C2/m, No. 12
Density in Mg/m³: 7.3

a b c (Å): 7.2872 7.2872 7.3035
angles (deg): 99.55 99.55 119.97
With the nearest neighbours (Å) after each atom.
Positions (direct):
Na  0.1661  0.8339  0.0000  6 Se 3.02-3.03
Na  0.8339  0.1661  0.0000  6 Se 3.02-3.03
Nd  0.5000  0.5000  0.0000  6 Se 2.99
Pu  0.0000  0.0000  0.5000  6 Se 2.93-2.97
Pu  0.3317  0.6683  0.5000  6 Se 2.93-2.95
Pu  0.6683  0.3317  0.5000  6 Se 2.93-2.95
Se  0.0844  0.4138  0.7416  3 Pu 2.93-2.95, 1 Nd 2.99, 2 Na 3.02-3.03
Se  0.2573  0.2573  0.2590  3 Pu 2.94-2.97, 1 Nd 2.99, 2 Na 3.02
Se  0.4138  0.0844  0.7416  3 Pu 2.93-2.95, 1 Nd 2.99, 2 Na 3.02-3.03
Se  0.5862  0.9156  0.2584  3 Pu 2.93-2.95, 1 Nd 2.99, 2 Na 3.02-3.03
Se  0.7427  0.7427  0.7410  3 Pu 2.94-2.97, 1 Nd 2.99, 2 Na 3.02
Se  0.9156  0.5862  0.2584  3 Pu 2.93-2.95, 1 Nd 2.99, 2 Na 3.02-3.03


VASP calculation (PBE) on a relaxed Na3NdPu2Se6 crystal.

Properties
Raw formation energy in eV per atom: -1.4924
Size of the total moment in μB/atom: 0.833
Final energy in eV per atom: -6.35
Space-group type: C2/m, No. 12
Density in Mg/m³: 6.0

a b c (Å): 7.3393 7.3393 7.3807
angles (deg): 99.55 99.55 120.00
With the nearest neighbours (Å) after each atom.
Positions (direct):
Na  0.0000  0.0000  0.0000  6 Se 3.04-3.09
Na  0.3341  0.6659  0.0000  6 Se 3.05-3.09
Na  0.6659  0.3341  0.0000  6 Se 3.05-3.09
Nd  0.5000  0.5000  0.5000  6 Se 2.97
Pu  0.1668  0.8332  0.5000  6 Se 2.91-2.92
Pu  0.8332  0.1668  0.5000  6 Se 2.91-2.92
Se  0.0831  0.4224  0.2676  2 Pu 2.91, 1 Nd 2.97, 3 Na 3.05-3.09
Se  0.2385  0.2385  0.7333  2 Pu 2.92, 1 Nd 2.97, 3 Na 3.04-3.08
Se  0.4224  0.0831  0.2676  2 Pu 2.91, 1 Nd 2.97, 3 Na 3.05-3.09
Se  0.5776  0.9169  0.7324  2 Pu 2.91, 1 Nd 2.97, 3 Na 3.05-3.09
Se  0.7615  0.7615  0.2667  2 Pu 2.92, 1 Nd 2.97, 3 Na 3.04-3.08
Se  0.9169  0.5776  0.7324  2 Pu 2.91, 1 Nd 2.97, 3 Na 3.05-3.09


VASP calculation (PBE) on a relaxed NaNd2PuSe4 crystal.

Properties
Raw formation energy in eV per atom: -1.6761
Size of the total moment in μB/atom: 0.731
Final energy in eV per atom: -6.57
Space-group type: P2/m, No. 10
Density in Mg/m³: 6.8

a b c (Å): 7.3067 4.2117 7.3127
angles (deg): 90.00 109.50 90.00
With the nearest neighbours (Å) after each atom.
Positions (direct):
Na  0.0000  0.0000  0.0000  6 Se 2.97-2.98
Nd  0.5000  0.0000  0.5000  6 Se 2.98-3.00
Nd  0.5000  0.5000  0.0000  6 Se 2.99-3.01
Pu  0.0000  0.5000  0.5000  6 Se 2.96-2.97
Se  0.2445  0.0000  0.7469  2 Pu 2.96, 1 Na 2.97, 3 Nd 3.00-3.01
Se  0.2495  0.5000  0.2512  1 Pu 2.97, 3 Nd 2.98-2.99, 2 Na 2.98
Se  0.7505  0.5000  0.7488  1 Pu 2.97, 3 Nd 2.98-2.99, 2 Na 2.98
Se  0.7555  0.0000  0.2531  2 Pu 2.96, 1 Na 2.97, 3 Nd 3.00-3.01


VASP calculation (PBE) on a relaxed NaNd3Pu2Se6 crystal.

Properties
Raw formation energy in eV per atom: -1.6845
Size of the total moment in μB/atom: 0.973
Final energy in eV per atom: -7.12
Space-group type: C2/m, No. 12
Density in Mg/m³: 7.5

a b c (Å): 9.4169 9.4169 8.4182
angles (deg): 102.99 102.99 25.76
With the nearest neighbours (Å) after each atom.
Positions (direct):
Na  0.0000  0.0000  0.0000  6 Se 2.97
Nd  0.0000  0.0000  0.5000  6 Se 2.98-3.00
Nd  0.3343  0.3343  0.1682  6 Se 2.99-3.00
Nd  0.6657  0.6657  0.8318  6 Se 2.99-3.00
Pu  0.3332  0.3332  0.6667  6 Se 2.94-2.95
Pu  0.6668  0.6668  0.3333  6 Se 2.94-2.95
Se  0.1662  0.1662  0.0868  2 Pu 2.95, 1 Na 2.97, 3 Nd 3.00
Se  0.1679  0.1679  0.5783  3 Pu 2.94-2.95, 3 Nd 3.00
Se  0.4985  0.4985  0.7502  1 Pu 2.95, 2 Na 2.97, 3 Nd 2.98-2.99
Se  0.5015  0.5015  0.2498  1 Pu 2.95, 2 Na 2.97, 3 Nd 2.98-2.99
Se  0.8321  0.8321  0.4217  3 Pu 2.94-2.95, 3 Nd 3.00
Se  0.8338  0.8338  0.9132  2 Pu 2.95, 1 Na 2.97, 3 Nd 3.00


VASP calculation (PBE) on a relaxed NaNd2Pu3Se6 crystal.

Properties
Raw formation energy in eV per atom: -1.6037
Size of the total moment in μB/atom: 0.483
Final energy in eV per atom: -7.83
Space-group type: C2/m, No. 12
Density in Mg/m³: 8.0

a b c (Å): 9.3846 9.3846 8.4069
angles (deg): 102.62 102.62 25.77
With the nearest neighbours (Å) after each atom.
Positions (direct):
Na  0.0000  0.0000  0.0000  6 Se 2.99-3.00
Nd  0.3333  0.3333  0.6644  6 Se 2.98-3.00
Nd  0.6667  0.6667  0.3356  6 Se 2.98-3.00
Pu  0.0000  0.0000  0.5000  6 Se 2.94
Pu  0.3336  0.3336  0.1656  6 Se 2.94-2.96
Pu  0.6664  0.6664  0.8344  6 Se 2.94-2.96
Se  0.1651  0.1651  0.5888  3 Pu 2.94, 3 Nd 2.99-3.00
Se  0.1680  0.1680  0.0800  3 Pu 2.94-2.95, 1 Na 3.00, 2 Nd 3.00
Se  0.4996  0.4996  0.2542  3 Pu 2.94-2.96, 1 Nd 2.98, 2 Na 2.99
Se  0.5004  0.5004  0.7458  3 Pu 2.94-2.96, 1 Nd 2.98, 2 Na 2.99
Se  0.8320  0.8320  0.9200  3 Pu 2.94-2.95, 1 Na 3.00, 2 Nd 3.00
Se  0.8349  0.8349  0.4112  3 Pu 2.94, 3 Nd 2.99-3.00


VASP calculation (PBE) on a relaxed NaNdPu2Se4 crystal.

Properties
Raw formation energy in eV per atom: -1.5484
Size of the total moment in μB/atom: 0.014
Final energy in eV per atom: -7.63
Space-group type: P2/m, No. 10
Density in Mg/m³: 7.7

a b c (Å): 7.2720 4.1945 7.3226
angles (deg): 90.00 109.59 90.00
With the nearest neighbours (Å) after each atom.
Positions (direct):
Na  0.0000  0.0000  0.0000  6 Se 2.99-3.00
Nd  0.0000  0.5000  0.5000  6 Se 2.99-3.00
Pu  0.5000  0.0000  0.5000  6 Se 2.94-2.97
Pu  0.5000  0.5000  0.0000  6 Se 2.94-2.98
Se  0.2553  0.0000  0.7537  3 Pu 2.94-2.97, 1 Na 2.99, 2 Nd 3.00
Se  0.2563  0.5000  0.2552  3 Pu 2.94-2.98, 1 Nd 2.99, 2 Na 3.00
Se  0.7437  0.5000  0.7448  3 Pu 2.94-2.98, 1 Nd 2.99, 2 Na 3.00
Se  0.7447  0.0000  0.2463  3 Pu 2.94-2.97, 1 Na 2.99, 2 Nd 3.00


VASP calculation (PBE) on a relaxed Na3Nd2PuTe6 crystal.

Properties
Raw formation energy in eV per atom: -1.2186
Size of the total moment in μB/atom: 0.417
Final energy in eV per atom: -5.11
Space-group type: C2/m, No. 12
Density in Mg/m³: 5.6

a b c (Å): 7.8674 7.8674 7.9727
angles (deg): 99.46 99.46 119.99
With the nearest neighbours (Å) after each atom.
Positions (direct):
Na  0.0000  0.0000  0.0000  6 Te 3.27-3.30
Na  0.3324  0.6676  0.0000  6 Te 3.27-3.29
Na  0.6676  0.3324  0.0000  6 Te 3.27-3.29
Nd  0.1664  0.8336  0.5000  6 Te 3.18-3.19
Nd  0.8336  0.1664  0.5000  6 Te 3.18-3.19
Pu  0.5000  0.5000  0.5000  6 Te 3.15
Te  0.0908  0.4209  0.2622  1 Pu 3.15, 2 Nd 3.19, 3 Na 3.27-3.29
Te  0.2493  0.2493  0.7379  1 Pu 3.15, 2 Nd 3.18, 3 Na 3.28-3.30
Te  0.4209  0.0908  0.2622  1 Pu 3.15, 2 Nd 3.19, 3 Na 3.27-3.29
Te  0.5791  0.9092  0.7378  1 Pu 3.15, 2 Nd 3.19, 3 Na 3.27-3.29
Te  0.7507  0.7507  0.2621  1 Pu 3.15, 2 Nd 3.18, 3 Na 3.28-3.30
Te  0.9092  0.5791  0.7378  1 Pu 3.15, 2 Nd 3.19, 3 Na 3.27-3.29


VASP calculation (PBE) on a relaxed NaNd3Pu2Te6 crystal.

Properties
Raw formation energy in eV per atom: -1.2857
Size of the total moment in μB/atom: 0.993
Final energy in eV per atom: -6.55
Space-group type: C2/m, No. 12
Density in Mg/m³: 7.4

a b c (Å): 10.0512 10.0512 9.0033
angles (deg): 103.20 103.20 25.69
With the nearest neighbours (Å) after each atom.
Positions (direct):
Na  0.0000  0.0000  0.0000  6 Te 3.16-3.17
Nd  0.0000  0.0000  0.5000  6 Te 3.18-3.20
Nd  0.3340  0.3340  0.1692  6 Te 3.18-3.20
Nd  0.6660  0.6660  0.8308  6 Te 3.18-3.20
Pu  0.3333  0.3333  0.6670  6 Te 3.14-3.16
Pu  0.6667  0.6667  0.3330  6 Te 3.14-3.16
Te  0.1662  0.1662  0.0850  2 Pu 3.16, 1 Na 3.17, 3 Nd 3.20
Te  0.1678  0.1678  0.5787  3 Pu 3.14-3.15, 3 Nd 3.19-3.20
Te  0.4990  0.4990  0.7511  1 Pu 3.16, 2 Na 3.16, 3 Nd 3.18
Te  0.5010  0.5010  0.2489  1 Pu 3.16, 2 Na 3.16, 3 Nd 3.18
Te  0.8322  0.8322  0.4213  3 Pu 3.14-3.15, 3 Nd 3.19-3.20
Te  0.8338  0.8338  0.9150  2 Pu 3.16, 1 Na 3.17, 3 Nd 3.20


VASP calculation (PBE) on a relaxed Na2NdPuTe4 crystal.

Properties
Raw formation energy in eV per atom: -1.1720
Size of the total moment in μB/atom: 0.625
Final energy in eV per atom: -5.46
Space-group type: P2/m, No. 10
Density in Mg/m³: 5.9

a b c (Å): 7.8443 4.5349 7.9639
angles (deg): 90.00 109.30 90.00
With the nearest neighbours (Å) after each atom.
Positions (direct):
Na  0.0000  0.0000  0.0000  6 Te 3.29-3.30
Na  0.5000  0.5000  0.0000  6 Te 3.26-3.27
Nd  0.0000  0.5000  0.5000  6 Te 3.18
Pu  0.5000  0.0000  0.5000  6 Te 3.14-3.16
Te  0.2490  0.0000  0.7391  1 Pu 3.16, 2 Nd 3.18, 3 Na 3.26-3.29
Te  0.2590  0.5000  0.2653  2 Pu 3.14, 1 Nd 3.18, 3 Na 3.27-3.30
Te  0.7410  0.5000  0.7347  2 Pu 3.14, 1 Nd 3.18, 3 Na 3.27-3.30
Te  0.7510  0.0000  0.2609  1 Pu 3.16, 2 Nd 3.18, 3 Na 3.26-3.29


VASP calculation (PBE) on a relaxed NaNd2PuTe4 crystal.

Properties
Raw formation energy in eV per atom: -1.2925
Size of the total moment in μB/atom: 0.746
Final energy in eV per atom: -6.01
Space-group type: P2/m, No. 10
Density in Mg/m³: 6.9

a b c (Å): 7.7973 4.4815 7.8211
angles (deg): 90.00 109.33 90.00
With the nearest neighbours (Å) after each atom.
Positions (direct):
Na  0.0000  0.0000  0.0000  6 Te 3.17-3.18
Nd  0.0000  0.5000  0.5000  6 Te 3.19-3.20
Nd  0.5000  0.0000  0.5000  6 Te 3.18-3.20
Pu  0.5000  0.5000  0.0000  6 Te 3.16-3.18
Te  0.2501  0.5000  0.2490  2 Na 3.18, 1 Pu 3.18, 3 Nd 3.18-3.19
Te  0.2519  0.0000  0.7543  2 Pu 3.16, 1 Na 3.17, 3 Nd 3.20
Te  0.7481  0.0000  0.2457  2 Pu 3.16, 1 Na 3.17, 3 Nd 3.20
Te  0.7499  0.5000  0.7510  2 Na 3.18, 1 Pu 3.18, 3 Nd 3.18-3.19


VASP calculation (PBE) on a relaxed NaNdPu2Te4 crystal.

Properties
Raw formation energy in eV per atom: -1.1850
Size of the total moment in μB/atom: 1.456
Final energy in eV per atom: -7.10
Space-group type: P2/m, No. 10
Density in Mg/m³: 7.6

a b c (Å): 7.7738 4.4762 7.7906
angles (deg): 90.00 109.25 90.00
With the nearest neighbours (Å) after each atom.
Positions (direct):
Na  0.0000  0.0000  0.0000  6 Te 3.19-3.20
Nd  0.0000  0.5000  0.5000  6 Te 3.19-3.20
Pu  0.5000  0.0000  0.5000  6 Te 3.15-3.16
Pu  0.5000  0.5000  0.0000  6 Te 3.16
Te  0.2542  0.0000  0.7521  3 Pu 3.16, 1 Na 3.19, 2 Nd 3.20
Te  0.2550  0.5000  0.2529  3 Pu 3.15-3.16, 1 Nd 3.19, 2 Na 3.20
Te  0.7450  0.5000  0.7471  3 Pu 3.15-3.16, 1 Nd 3.19, 2 Na 3.20
Te  0.7458  0.0000  0.2479  3 Pu 3.16, 1 Na 3.19, 2 Nd 3.20


Which of these has the highest raw formation energy?
Na2NdPuTe4


Which formula does entry 2 have?
Na2NdPu3Se6


The highest density belongs to which entry?
NaNd2Pu3Se6